{"formula": "NbSiSnHg2", "functional": "GGA-PBE", "state": "optimized geometry", "lattice_angstrom": [[4.954, 0.000, 0.000], [0.000, 4.954, 0.000], [0.000, 0.000, 5.299]], "species": ["Nb", "Si", "Sn", "Hg", "Hg"], "frac_coords": [[0.000, 0.000, 0.000], [0.500, 0.500, 0.500], [0.500, 0.500, 0.000], [0.000, 0.500, 0.500], [0.500, 0.000, 0.500]], "volume_a3_per_cell": 130.1, "space_group": "P4/mmm", "formation_energy_uncorrected_ev_per_atom": 1.034}



{"formula": "Rb2HgRuBr6", "functional": "GGA-PBE", "state": "optimized geometry", "lattice_angstrom": [[-3.931, 3.931, 5.619], [3.931, -3.931, 5.619], [3.931, 3.931, -5.619]], "species": ["Rb", "Rb", "Hg", "Ru", "Br", "Br", "Br", "Br", "Br", "Br"], "frac_coords": [[0.250, 0.750, 0.500], [0.750, 0.250, 0.500], [0.000, 0.000, 0.000], [0.500, 0.500, 0.000], [0.271, 0.271, 0.543], [0.271, 0.729, 0.000], [0.275, 0.275, 0.000], [0.725, 0.725, 0.000], [0.729, 0.271, 0.000], [0.729, 0.729, 0.457]], "volume_a3_per_cell": 347.3, "space_group": "I4/mmm", "formation_energy_uncorrected_ev_per_atom": -0.813}



{"formula": "Nd5Hg4Ru", "functional": "GGA-PBE", "state": "optimized geometry", "lattice_angstrom": [[3.701, 0.000, 0.000], [0.000, 3.701, 0.000], [0.000, 0.000, 19.637]], "species": ["Nd", "Nd", "Nd", "Nd", "Nd", "Hg", "Hg", "Hg", "Hg", "Ru"], "frac_coords": [[0.000, 0.000, 0.000], [0.000, 0.000, 0.206], [0.000, 0.000, 0.415], [0.000, 0.000, 0.585], [0.000, 0.000, 0.794], [0.500, 0.500, 0.103], [0.500, 0.500, 0.307], [0.500, 0.500, 0.693], [0.500, 0.500, 0.897], [0.500, 0.500, 0.500]], "volume_a3_per_cell": 269.0, "space_group": "P4/mmm", "e_tot_ev_per_atom": -3.83}



Question: Which formula does entry 1 have?
Answer: NbSiSnHg2



Please write out number 1 again, unchanged.
{"formula": "NbSiSnHg2", "functional": "GGA-PBE", "state": "optimized geometry", "lattice_angstrom": [[4.954, 0.000, 0.000], [0.000, 4.954, 0.000], [0.000, 0.000, 5.299]], "species": ["Nb", "Si", "Sn", "Hg", "Hg"], "frac_coords": [[0.000, 0.000, 0.000], [0.500, 0.500, 0.500], [0.500, 0.500, 0.000], [0.000, 0.500, 0.500], [0.500, 0.000, 0.500]], "volume_a3_per_cell": 130.1, "space_group": "P4/mmm", "formation_energy_uncorrected_ev_per_atom": 1.034}



Question: Number 3 is which compound?
Answer: Nd5Hg4Ru